No. 1
Compound: Ba2LaSi2
Source: Alexandria
Functional: PBE-GGA
Structure: relaxed

Its energy relative to the elements, uncorrected is -0.335 eV/atom. The raw total energy is -4.259 eV/atom.

The structure belongs to space group P4/mbm (No. 127); the cell edges are 7.989, 7.989 and 5.253 Å and the angles 90.00°, 90.00° and 90.00°. The inequivalent atoms are Ba at (0.174, 0.326, 0.000), La at (0.000, 0.000, 0.500) and Si at (0.107, 0.607, 0.500).



No. 2
Compound: Y4Co
Source: Alexandria
Functional: PBE-GGA
Structure: relaxed

The value obtained for the energy relative to the elements is 0.6779 eV/atom. The value obtained for the energy above the lowest structure with this stoichiometry is 70.86 kJ/mol of atoms. The raw total energy is -5.915 eV/atom.

The structure belongs to space group I4/mmm (No. 139); the cell edges are 4.039, 4.039 and 18.353 Å and the angles 90.00°, 90.00° and 90.00°. The inequivalent atoms are Y at (0.000, 0.000, 0.083), Y at (0.000, 0.500, 0.250) and Co at (0.000, 0.000, 0.500).



No. 3
Compound: Tb9HoIn2
Source: Alexandria
Functional: PBE-GGA
Structure: relaxed

The value obtained for the energy relative to the elements is -0.1688 eV/atom. The raw total energy is -4.479 eV/atom.

The structure belongs to space group P4/mmm (No. 123); the cell edges are 4.885, 4.885 and 14.953 Å and the angles 90.00°, 90.00° and 90.00°. The inequivalent atoms are Tb at (0.000, 0.000, 0.000), Tb at (0.000, 0.000, 0.337), Tb at (0.000, 0.500, 0.172), Tb at (0.000, 0.500, 0.500), Ho at (0.500, 0.500, 0.000) and In at (0.500, 0.500, 0.339).



No. 4
Compound: Sr2LiCd5
Source: Alexandria
Functional: PBE-GGA
Structure: relaxed

The value obtained for the energy relative to the elements is -0.2374 eV/atom. The raw total energy is -1.469 eV/atom.

The structure belongs to space group Cmcm (No. 63); the cell edges are 4.942, 18.112 and 10.195 Å and the angles 90.00°, 90.00° and 90.00°. The inequivalent atoms are Sr at (0.000, 0.000, 0.000), Sr at (0.000, 0.202, 0.250), Li at (0.000, 0.444, 0.750), Cd at (0.000, 0.187, 0.606), Cd at (0.000, 0.354, 0.532) and Cd at (0.000, 0.404, 0.250).



No. 5
Compound: Er4ZnSb
Source: Alexandria
Functional: PBE-GGA
Structure: relaxed

Its energy relative to the elements, uncorrected is -0.414 eV/atom. The value obtained for the energy above the lowest structure with this stoichiometry is 4.08 kJ/mol of atoms. The raw total energy is -4.355 eV/atom.

The structure belongs to space group C2/c (No. 15); the cell edges are 8.721, 13.434 and 5.986 Å and the angles 90.00°, 113.81° and 90.00°. The inequivalent atoms are Er at (0.108, 0.184, 0.066), Er at (0.206, 0.417, 0.341), Zn at (0.000, 0.000, 0.250) and Sb at (0.000, 0.383, 0.750).



No. 6
Compound: NaPd3Pb3
Source: Alexandria
Functional: PBE-GGA
Structure: relaxed

The value obtained for the energy relative to the elements is -0.2167 eV/atom. The value obtained for the energy above the lowest structure with this stoichiometry is 0.00 kJ/mol of atoms. The raw total energy is -4.220 eV/atom.

The structure belongs to space group Cmmm (No. 65); the cell edges are 9.305, 10.076 and 6.807 Å and the angles 90.00°, 90.00° and 90.00°. The inequivalent atoms are Na at (0.212, 0.000, 0.000), Pd at (0.000, 0.500, 0.264), Pd at (0.250, 0.250, 0.239), Pb at (0.000, 0.248, 0.500), Pb at (0.000, 0.280, 0.000) and Pb at (0.244, 0.000, 0.500).



No. 7
Compound: Mn2CrP
Source: Alexandria
Functional: PBE-GGA
Structure: relaxed

The value obtained for the energy relative to the elements is -0.1198 eV/atom. The raw total energy is -8.463 eV/atom.

The structure belongs to space group Pmm2 (No. 25); the cell edges are 2.652, 3.628 and 4.593 Å and the angles 90.00°, 90.00° and 90.00°. The inequivalent atoms are Mn at (0.000, 0.000, 0.000), Mn at (0.500, 0.500, 0.288), Cr at (0.500, 0.500, 0.763) and P at (0.000, 0.000, 0.501).



No. 8
Compound: LiPm2Nd2
Source: Alexandria
Functional: PBE-GGA
Structure: relaxed

The value obtained for the energy relative to the elements is 0.4401 eV/atom. The raw total energy is -3.750 eV/atom.

The structure belongs to space group I4/mmm (No. 139); the cell edges are 4.472, 4.472 and 17.851 Å and the angles 90.00°, 90.00° and 90.00°. The inequivalent atoms are Li at (0.000, 0.000, 0.000), Pm at (0.000, 0.500, 0.250) and Nd at (0.000, 0.000, 0.410).



Number 1: M_tot 0.00 μB per formula unit. Number 2: M_tot 1.52 μB per formula unit. Number 3: M_tot 0.00 μB per formula unit. Number 4: M_tot 0.00 μB per formula unit. Number 5: M_tot 0.00 μB per formula unit. Number 6: M_tot 0.00 μB per formula unit. Number 7: M_tot 0.00 μB per formula unit. Number 8: M_tot 0.00 μB per formula unit.